Below is AsAuS2 at its PBEsol-relaxed geometry, with properties calculated at the SCAN level.

Cell lengths 3.7309, 3.7309, 21.7418 Å; angles 90.00, 90.00, 120.00 degrees
With the nearest neighbours (Å) after each atom.
Space group R-3m (No. 166, hexagonal axes)
Unique sites:
As  0.0000  0.0000  0.0000 [3 per cell]  6 S 2.55
Au  0.0000  0.0000  0.5000 [3 per cell]  2 S 2.26
S  0.0000  0.0000  0.3962 [6 per cell]  1 Au 2.26

Computed properties:
calculated total energy: -326.532 eV per cell

Below is CaV2P2O9 at its PBEsol-relaxed geometry, with properties calculated at the SCAN level.

Cell lengths 14.2397, 6.3918, 7.2985 Å; angles 90.00, 90.00, 90.00 degrees
With the nearest neighbours (Å) after each atom.
Space group Pnma (No. 62)
Unique sites:
Ca  0.2215  0.2500  0.1180 [4 per cell]  6 O 2.32-2.47
V  0.0000  0.0000  0.0000 [4 per cell]  6 O 2.02-2.04
V  0.1191  0.2500  0.6557 [4 per cell]  4 O 1.81-2.00
P  0.0658  0.7500  0.6396 [4 per cell]  4 O 1.50-1.56
P  0.1919  0.7500  0.1109 [4 per cell]  4 O 1.55-1.56
O  0.0103  0.2500  0.5032 [4 per cell]  1 P 1.50
O  0.0177  0.7500  0.8321 [4 per cell]  1 P 1.56
O  0.0542  0.2500  0.8682 [4 per cell]  3 V 1.81-2.02
O  0.1303  0.5509  0.1055 [8 per cell]  1 P 1.55
O  0.1327  0.5603  0.6298 [8 per cell]  1 P 1.54
O  0.2337  0.2500  0.4554 [4 per cell]  1 P 1.55
O  0.2469  0.2500  0.7879 [4 per cell]  1 P 1.56

Computed properties:
calculated total energy: -643.580 eV per cell
D(E_F): 9.77 states/eV/cell

Below is BaMn3Si at its PBEsol-relaxed geometry, with properties calculated at the SCAN level.

Cell lengths 4.9458, 4.9458, 4.9458 Å; angles 90.00, 90.00, 90.00 degrees
With the nearest neighbours (Å) after each atom.
Space group Pm-3m (No. 221)
Unique sites:
Ba  0.0000  0.0000  0.0000 [1 per cell]  6 Mn 2.47
Mn  0.0000  0.0000  0.5000 [3 per cell]  2 Ba 2.47
Si  0.5000  0.5000  0.5000 [1 per cell]  12 Mn 3.50

Computed properties:
calculated total energy: -93.771 eV per cell
D(E_F): 4.87 states/eV/cell

Below is ScCu2Ir at its PBEsol-relaxed geometry, with properties calculated at the SCAN level.

Cell lengths 3.1839, 3.1839, 5.5839 Å; angles 90.00, 90.00, 90.00 degrees
With the nearest neighbours (Å) after each atom.
Space group P4mm (No. 99)
Unique sites:
Sc  0.0000  0.0000  0.0000 [1 per cell]  4 Ir 2.66, 6 Cu 2.72-2.86
Cu  0.0000  0.0000  0.4874 [1 per cell]  4 Cu 2.52, 4 Ir 2.67, 1 Sc 2.72
Cu  0.5000  0.5000  0.2843 [1 per cell]  4 Cu 2.52, 1 Ir 2.57, 4 Sc 2.75
Ir  0.5000  0.5000  0.7447 [1 per cell]  5 Cu 2.57-2.67, 4 Sc 2.66

Computed properties:
formation energy from the elements: -0.370 eV/atom
D(E_F): 1.45 states/eV/cell

Below is CaRh2 at its PBEsol-relaxed geometry, with properties calculated at the SCAN level.

Cell lengths 2.8621, 3.8698, 9.7715 Å; angles 90.00, 90.00, 90.00 degrees
With the nearest neighbours (Å) after each atom.
Space group Immm (No. 71)
Unique sites:
Ca  0.0000  0.0000  0.0000 [2 per cell]  10 Rh 2.85-3.15, 2 Ca 2.86
Rh  0.0000  0.0000  0.2917 [4 per cell]  4 Rh 2.54

Computed properties:
formation energy from the elements: -0.118 eV/atom
D(E_F): 5.94 states/eV/cell

Below is Ta2NiPt at its PBEsol-relaxed geometry, with properties calculated at the SCAN level.

Cell lengths 2.7718, 2.7718, 7.7572 Å; angles 90.00, 90.00, 90.00 degrees
With the nearest neighbours (Å) after each atom.
Space group P4/mmm (No. 123)
Unique sites:
Ta  0.0000  0.0000  0.2347 [2 per cell]  4 Ni 2.67, 4 Ta 2.77, 4 Pt 2.84
Ni  0.5000  0.5000  0.0000 [1 per cell]  8 Ta 2.67, 4 Ni 2.77
Pt  0.5000  0.5000  0.5000 [1 per cell]  4 Pt 2.77, 8 Ta 2.84

Computed properties:
formation energy from the elements: -0.474 eV/atom
D(E_F): 3.60 states/eV/cell